[1]
The following is a PBE-GGA calculation of a relaxed structure of TmSc4Rh2, from Alexandria via LeMat-Bulk.

a = 7.4185 Å, b = 5.8550 Å, c = 7.5435 Å
α = 90.00°, β = 112.52°, γ = 90.00°
With the nearest neighbours (Å) after each atom.
Space group P2_1/m (No. 11)
Unique sites:
Tm1 0.0187 0.2500 0.1590  3 Rh 2.79-3.05
Sc1 0.2402 0.5009 0.5902  4 Rh 2.80-2.88, 2 Sc 2.92-2.94
Sc2 0.3428 0.7500 0.2531  2 Rh 2.64-2.69
Sc3 0.3887 0.2500 0.0147  2 Rh 2.63-2.77
Rh1 0.0115 0.2500 0.7415  6 Sc 2.64-2.88
Rh2 0.4203 0.2500 0.3740  6 Sc 2.63-2.88, 1 Tm 2.79

The calculation puts the uncorrected energy at -6.906 eV/atom. The calculated volume comes out at 302.7 Å³/cell. As for the formation enthalpy at 0 K: -549 meV per atom.

---

[2]
The following is a PBE-GGA calculation of a relaxed structure of LiTl, from Alexandria via LeMat-Bulk.

a = 8.0028 Å, b = 8.1349 Å, c = 11.2873 Å
α = 90.00°, β = 90.00°, γ = 90.00°
With the nearest neighbours (Å) after each atom.
Space group Fddd (No. 70, origin choice 2)
Unique sites:
Li1 0.0550 0.3750 0.3750  6 Tl 2.87-3.01, 1 Li 2.88
Tl1 0.1250 0.3192 0.6250  6 Li 2.87-3.01, 1 Tl 3.16

The calculation puts the uncorrected energy at -2.241 eV/atom. The calculated volume comes out at 734.8 Å³/cell. As for the formation enthalpy at 0 K: -101 meV per atom.

---

[3]
The following is a PBE-GGA calculation of a relaxed structure of BIr2Ru, from Alexandria via LeMat-Bulk.

a = 2.7468 Å, b = 2.7468 Å, c = 23.0357 Å
α = 90.00°, β = 90.00°, γ = 120.00°
With the nearest neighbours (Å) after each atom.
Space group R3m (No. 160, hexagonal axes)
Unique sites:
B1 0.0000 0.0000 0.0000  6 Ir 2.22-2.25
Ir1 0.0000 0.0000 0.4028  3 B 2.25
Ir2 0.0000 0.0000 0.5995  3 B 2.22
Ru1 0.0000 0.0000 0.8349  6 Ru 2.75, 6 Ir 2.76-2.77

The calculation puts the uncorrected energy at -8.356 eV/atom. The calculated volume comes out at 150.5 Å³/cell. As for the formation enthalpy at 0 K: 63 meV per atom.

---

[4]
The following is a PBE-GGA calculation of a relaxed structure of Tl3H2S2, from Alexandria via LeMat-Bulk.

a = 11.4939 Å, b = 3.9544 Å, c = 8.1291 Å
α = 90.00°, β = 104.54°, γ = 90.00°
With the nearest neighbours (Å) after each atom.
Space group C2/m (No. 12)
Unique sites:
Tl1 0.0000 0.0000 0.0000  6 H 3.14-3.32, 4 S 3.31
Tl2 0.1932 0.5000 0.3205  2 S 3.01, 3 H 3.11-3.29
H1 0.2201 0.5000 0.9496  1 S 1.35
S1 0.1450 0.5000 0.7918  1 H 1.35

The calculation puts the uncorrected energy at -3.289 eV/atom. The calculated volume comes out at 357.6 Å³/cell.

---

[5]
The following is a PBE-GGA calculation of a relaxed structure of AlSiTe2, from Alexandria via LeMat-Bulk.

a = 4.0888 Å, b = 6.2648 Å, c = 7.8405 Å
α = 90.00°, β = 90.00°, γ = 90.00°
With the nearest neighbours (Å) after each atom.
Space group Cmmm (No. 65)
Unique sites:
Al1 0.0000 0.0000 0.0000  4 Te 2.82
Si1 0.0000 0.0000 0.5000  4 Te 2.85
Te1 0.0000 0.5000 0.2476  2 Al 2.82, 2 Si 2.85

The calculation puts the uncorrected energy at -3.511 eV/atom. The calculated volume comes out at 200.8 Å³/cell. The calculation puts the offset from the most stable computed form at 417 meV/atom. The value obtained for the uncorrected formation energy is 0.351 eV/atom.

---

[6]
The following is a PBE-GGA calculation of a relaxed structure of La2GaBi, from Alexandria via LeMat-Bulk.

a = 8.4977 Å, b = 8.4977 Å, c = 7.2794 Å
α = 90.00°, β = 90.00°, γ = 90.00°
With the nearest neighbours (Å) after each atom.
Space group I-42d (No. 122)
Unique sites:
La1 0.2330 0.7500 0.1250  2 Ga 3.04, 2 Bi 3.24
Ga1 0.0000 0.0000 0.0000  4 La 3.04
Bi1 0.0000 0.0000 0.5000  4 La 3.24

The calculation puts the uncorrected energy at -4.674 eV/atom. The calculated volume comes out at 525.7 Å³/cell. As for the formation enthalpy at 0 K: -483 meV per atom. The calculation puts the offset from the most stable computed form at 198 meV/atom.

---

[7]
The following is a PBE-GGA calculation of a relaxed structure of DyNi3, from Alexandria via LeMat-Bulk.

a = 5.5887 Å, b = 5.5887 Å, c = 19.3113 Å
α = 90.00°, β = 90.00°, γ = 120.00°
With the nearest neighbours (Å) after each atom.
Space group R-3m (No. 166, hexagonal axes)
Unique sites:
Dy1 0.0000 0.0000 0.0000  12 Ni 2.79
Dy2 0.0000 0.0000 0.2175  12 Ni 2.76-2.81
Ni1 0.0000 0.5000 0.0000  8 Ni 2.59-2.79, 4 Dy 2.76-2.79
Ni2 0.0456 0.5228 0.2243  6 Ni 2.41-2.63

The calculation puts the uncorrected energy at -5.772 eV/atom. The calculated volume comes out at 522.4 Å³/cell. As for the formation enthalpy at 0 K: -286 meV per atom.

---

[8]
The following is a PBE-GGA calculation of a relaxed structure of POsNO2, from Alexandria via LeMat-Bulk.

a = 3.1008 Å, b = 3.1008 Å, c = 6.3099 Å
α = 90.00°, β = 90.00°, γ = 90.00°
With the nearest neighbours (Å) after each atom.
Space group P4/mmm (No. 123)
Unique sites:
P1 0.0000 0.0000 0.0000  4 O 1.55
Os1 0.5000 0.5000 0.5000  4 N 2.19
N1 0.0000 0.0000 0.5000  4 Os 2.19
O1 0.0000 0.5000 0.0000  2 P 1.55

The calculation puts the uncorrected energy at -6.512 eV/atom. The calculated volume comes out at 60.7 Å³/cell. The value obtained for the uncorrected formation energy is 0.465 eV/atom.

---

[9]
The following is a PBE-GGA calculation of a relaxed structure of ZnPtSe2, from Alexandria via LeMat-Bulk.

a = 3.7776 Å, b = 3.7776 Å, c = 5.2558 Å
α = 90.00°, β = 90.00°, γ = 90.00°
With the nearest neighbours (Å) after each atom.
Space group P4/mmm (No. 123)
Unique sites:
Zn1 0.0000 0.0000 0.0000  6 Se 2.63-2.67
Pt1 0.5000 0.5000 0.5000  6 Se 2.63-2.67
Se1 0.0000 0.0000 0.5000  2 Zn 2.63, 4 Pt 2.67
Se2 0.5000 0.5000 0.0000  2 Pt 2.63, 4 Zn 2.67

The calculation puts the uncorrected energy at -3.821 eV/atom. The calculated volume comes out at 75.0 Å³/cell. The value obtained for the uncorrected formation energy is -0.250 eV/atom.

---

[10]
The following is a PBE-GGA calculation of a relaxed structure of TaTi3H3, from Alexandria via LeMat-Bulk.

a = 8.1678 Å, b = 9.5475 Å, c = 3.7992 Å
α = 90.00°, β = 90.00°, γ = 90.00°
With the nearest neighbours (Å) after each atom.
Space group Cmcm (No. 63)
Unique sites:
Ta1 0.0000 0.1229 0.2500  2 H 2.07
Ti1 0.0000 0.3725 0.7500  5 H 1.95-2.08
Ti2 0.2487 0.1250 0.7500  4 H 1.93-2.09
H1 0.0000 0.4168 0.2500  5 Ti 1.95-2.09
H2 0.2504 0.0866 0.2500  4 Ti 1.93-2.08, 1 Ta 2.07

The calculation puts the uncorrected energy at -6.757 eV/atom. The calculated volume comes out at 296.3 Å³/cell.

---

[11]
The following is a PBE-GGA calculation of a relaxed structure of CoAsBr2, from Alexandria via LeMat-Bulk.

a = 2.9692 Å, b = 2.9692 Å, c = 10.8588 Å
α = 90.00°, β = 90.00°, γ = 90.00°
With the nearest neighbours (Å) after each atom.
Space group P4mm (No. 99)
Unique sites:
Co1 0.0000 0.0000 0.0000  4 As 2.53, 4 Br 2.74
As1 0.5000 0.5000 0.1300  4 Co 2.53
Br1 0.0000 0.0000 0.4673  4 Br 2.97
Br2 0.5000 0.5000 0.8373  4 Co 2.74, 4 Br 2.97

The calculation puts the uncorrected energy at -3.527 eV/atom. The calculated volume comes out at 95.7 Å³/cell. The calculation puts the offset from the most stable computed form at 329 meV/atom. The value obtained for the uncorrected formation energy is 0.249 eV/atom.

---

[12]
The following is a PBE-GGA calculation of a relaxed structure of Nd3Tl2Cu, from Alexandria via LeMat-Bulk.

a = 15.7100 Å, b = 6.5577 Å, c = 6.6559 Å
α = 90.00°, β = 102.93°, γ = 90.00°
With the nearest neighbours (Å) after each atom.
Space group C2/c (No. 15)
Unique sites:
Nd1 0.0000 0.1315 0.2500  2 Cu 3.17-3.39, 4 Tl 3.22-3.33, 2 Nd 3.41
Nd2 0.1557 0.3980 0.5890  1 Cu 2.90, 2 Tl 3.24
Tl1 0.1681 0.1114 0.0481  7 Nd 3.22-3.56, 1 Cu 3.32, 1 Tl 3.33
Cu1 0.0000 0.3519 0.7500  3 Nd 2.90-3.17

The calculation puts the uncorrected energy at -4.061 eV/atom. The calculated volume comes out at 668.3 Å³/cell. As for the formation enthalpy at 0 K: -206 meV per atom.

---

[13]
The following is a PBE-GGA calculation of a relaxed structure of NaHo2Tm3Te6, from Alexandria via LeMat-Bulk.

a = 18.9837 Å, b = 4.3161 Å, c = 8.7387 Å
α = 90.00°, β = 103.68°, γ = 90.00°
With the nearest neighbours (Å) after each atom.
Space group C2/m (No. 12)
Unique sites:
Na1 0.0000 0.0000 0.0000  6 Te 3.09-3.13
Ho1 0.1708 0.5000 0.3450  6 Te 3.04-3.14
Tm1 0.0000 0.0000 0.5000  6 Te 3.03-3.05
Tm2 0.1644 0.5000 0.8258  6 Te 3.01-3.10
Te1 0.0020 0.5000 0.2546  3 Tm 3.05-3.07, 2 Na 3.09, 1 Ho 3.12
Te2 0.1641 0.0000 0.5861  3 Tm 3.01-3.03, 3 Ho 3.04-3.05
Te3 0.1694 0.0000 0.0830  3 Tm 3.07-3.10, 1 Na 3.13, 2 Ho 3.14

The calculation puts the uncorrected energy at -4.803 eV/atom. The calculated volume comes out at 695.7 Å³/cell. The value obtained for the uncorrected formation energy is -1.242 eV/atom.

---

[14]
The following is a PBE-GGA calculation of a relaxed structure of Ce2PmSm, from Alexandria via LeMat-Bulk.

a = 4.9484 Å, b = 4.9484 Å, c = 5.1321 Å
α = 90.00°, β = 90.00°, γ = 90.00°
With the nearest neighbours (Å) after each atom.
Space group P4/mmm (No. 123)
Unique sites:
Ce1 0.0000 0.5000 0.0000  4 Ce 3.50, 4 Sm 3.56, 4 Pm 3.56
Pm1 0.0000 0.0000 0.5000  4 Sm 3.50, 8 Ce 3.56
Sm1 0.5000 0.5000 0.5000  4 Pm 3.50, 8 Ce 3.56

The calculation puts the uncorrected energy at -5.217 eV/atom. The calculated volume comes out at 125.7 Å³/cell. As for the formation enthalpy at 0 K: 117 meV per atom. The calculation puts the offset from the most stable computed form at 5 meV/atom.

---

[15]
The following is a PBE-GGA calculation of a relaxed structure of TiGa2Se4, from Alexandria via LeMat-Bulk.

a = 7.5565 Å, b = 7.5565 Å, c = 6.5236 Å
α = 90.00°, β = 90.00°, γ = 90.00°
With the nearest neighbours (Å) after each atom.
Space group I4/m (No. 87)
Unique sites:
Ti1 0.0000 0.0000 0.0000  4 Se 2.65
Ga1 0.0000 0.5000 0.2500  4 Se 2.47
Se1 0.1596 0.3128 0.0000  2 Ga 2.47, 1 Ti 2.65

The calculation puts the uncorrected energy at -4.497 eV/atom. The calculated volume comes out at 372.5 Å³/cell. The value obtained for the uncorrected formation energy is -0.513 eV/atom.

---

[16]
The following is a PBE-GGA calculation of a relaxed structure of Na3Tl3Ga, from Alexandria via LeMat-Bulk.

a = 8.4584 Å, b = 13.7095 Å, c = 7.7150 Å
α = 90.00°, β = 106.35°, γ = 90.00°
With the nearest neighbours (Å) after each atom.
Space group C2/m (No. 12)
Unique sites:
Na1 0.0000 0.1149 0.0000  6 Tl 3.11-3.41, 2 Ga 3.11, 1 Na 3.15
Na2 0.0000 0.2419 0.5000  4 Tl 3.30-3.57
Na3 0.0724 0.5000 0.8060  3 Tl 3.15-3.48, 2 Ga 3.16-3.28
Tl1 0.1583 0.0000 0.4042  2 Ga 2.80-2.90
Tl2 0.1812 0.3072 0.1511  1 Ga 2.85, 1 Na 3.11
Ga1 0.1921 0.0000 0.7764  4 Tl 2.80-2.90, 2 Na 3.11

The calculation puts the uncorrected energy at -2.038 eV/atom. The calculated volume comes out at 858.4 Å³/cell. As for the formation enthalpy at 0 K: -26 meV per atom. The calculation puts the offset from the most stable computed form at 45 meV/atom.

---

[17]
The following is a PBE-GGA calculation of a relaxed structure of UZnCo2, from Alexandria via LeMat-Bulk.

a = 2.8940 Å, b = 2.8940 Å, c = 6.6524 Å
α = 90.00°, β = 90.00°, γ = 90.00°
With the nearest neighbours (Å) after each atom.
Space group P4/mmm (No. 123)
Unique sites:
U1 0.0000 0.0000 0.0000  8 Co 2.76, 4 U 2.89
Zn1 0.0000 0.0000 0.5000  8 Co 2.53
Co1 0.5000 0.5000 0.2776  4 Zn 2.53, 4 U 2.76

The calculation puts the uncorrected energy at -6.762 eV/atom. The calculated volume comes out at 55.7 Å³/cell. As for the formation enthalpy at 0 K: -69 meV per atom.

---

[18]
The following is a PBE-GGA calculation of a relaxed structure of La2Zn6In3, from Alexandria via LeMat-Bulk.

a = 10.4614 Å, b = 10.9428 Å, c = 4.4000 Å
α = 90.00°, β = 90.00°, γ = 90.00°
With the nearest neighbours (Å) after each atom.
Space group Cmmm (No. 65)
Unique sites:
La1 0.0000 0.2176 0.0000  8 Zn 3.37-3.44, 2 In 3.72
Zn1 0.1110 0.0000 0.5000  3 Zn 2.32-2.57
Zn2 0.2029 0.3466 0.5000  2 Zn 2.33-2.57
In1 0.0000 0.5000 0.5000  4 Zn 2.71
In2 0.2264 0.5000 0.0000  6 Zn 2.78

The calculation puts the uncorrected energy at -2.541 eV/atom. The calculated volume comes out at 503.7 Å³/cell. As for the formation enthalpy at 0 K: -204 meV per atom.

---

[19]
The following is a PBE-GGA calculation of a relaxed structure of ScTi2Hg, from Alexandria via LeMat-Bulk.

a = 7.6960 Å, b = 7.6960 Å, c = 5.6695 Å
α = 90.00°, β = 90.00°, γ = 90.00°
With the nearest neighbours (Å) after each atom.
Space group I-42d (No. 122)
Unique sites:
Sc1 0.0000 0.0000 0.0000  2 Hg 2.83, 4 Ti 2.91
Ti1 0.2312 0.2500 0.6250  2 Hg 2.71, 2 Ti 2.85, 2 Sc 2.91
Hg1 0.0000 0.0000 0.5000  4 Ti 2.71, 2 Sc 2.83

The calculation puts the uncorrected energy at -5.254 eV/atom. The calculated volume comes out at 335.8 Å³/cell. As for the formation enthalpy at 0 K: 352 meV per atom.

---

[20]
The following is a PBE-GGA calculation of a relaxed structure of Cs2TaSF6, from Alexandria via LeMat-Bulk.

a = 7.1710 Å, b = 7.1710 Å, c = 10.5026 Å
α = 90.00°, β = 90.00°, γ = 90.00°
With the nearest neighbours (Å) after each atom.
Space group I4/mmm (No. 139)
Unique sites:
Cs1 0.0000 0.5000 0.2500  12 F 3.65-3.70
Ta1 0.0000 0.0000 0.0000  6 F 1.92-1.93
S1 0.0000 0.0000 0.5000  6 F 3.15-3.33
F1 0.0000 0.0000 0.1834  1 Ta 1.93
F2 0.1898 0.1898 0.0000  1 Ta 1.92

The calculation puts the uncorrected energy at -5.437 eV/atom. The calculated volume comes out at 540.1 Å³/cell. The value obtained for the uncorrected formation energy is -2.545 eV/atom.